Cs2TiSe PBE-GGA relaxed; raw formation energy = 398 meV per atom; space group = No. 225; E = -0.2112 Ry per atom; distance to the lowest polymorph of the same formula = 541 meV/atom; total magnetic moment = 3.91 μB per cell
1.0
3.018 -2.498 4.792
-3.165 -2.215 4.836
-0.272 -6.104 0.987
Cs Ti Se
2 1 1
Cartesian
-0.105 -2.704 2.654 Cs
-0.314 -8.113 7.961 Cs
0.000 0.000 0.000 Ti
-0.209 -5.408 5.307 Se

CsTiSe2 PBE-GGA relaxed; raw formation energy = -1250 meV per atom; space group = No. 2; E = -0.3807 Ry per atom; total magnetic moment = 2.00 μB per cell
1.0
6.161 -0.003 -0.009
1.503 7.507 -0.033
3.028 3.628 6.390
Se Ti Cs
4 2 2
Cartesian
6.121 5.072 4.175 Se
3.112 3.694 1.758 Se
4.543 10.255 5.473 Se
7.696 8.874 3.047 Se
7.697 3.252 3.607 Ti
4.616 3.188 3.648 Ti
4.605 7.230 1.354 Cs
9.212 6.716 5.868 Cs

CsTiSe2 PBE-GGA relaxed; raw formation energy = -191 meV per atom; space group = No. 225; E = -0.3029 Ry per atom; total magnetic moment = 1.00 μB per cell
1.0
0.000 3.715 3.715
3.715 0.000 3.715
3.715 3.715 0.000
Se Ti Cs
2 1 1
Cartesian
5.572 5.572 5.572 Se
1.857 1.857 1.857 Se
0.000 0.000 0.000 Ti
3.715 3.715 3.715 Cs

Cs2TiSe PBE-GGA relaxed; raw formation energy = -143 meV per atom; space group = No. 122; E = -0.2510 Ry per atom; distance to the lowest polymorph of the same formula = 0 meV/atom; total magnetic moment = 5.85 μB per cell
1.0
-0.679 -8.692 -5.133
-4.209 7.985 4.568
2.702 5.323 -8.168
Se Cs Ti
2 4 2
Cartesian
-1.976 6.478 -1.941 Se
0.000 0.000 0.000 Se
-3.198 8.165 1.061 Cs
-1.975 4.614 -5.084 Cs
-1.130 3.475 -0.037 Cs
-1.600 9.657 -3.703 Cs
-2.444 -0.353 -0.282 Ti
-0.210 -1.861 -6.791 Ti

Cs4TiSe4 PBE-GGA relaxed; raw formation energy = -1262 meV per atom; space group = No. 121; E = -0.2990 Ry per atom; distance to the lowest polymorph of the same formula = 0 meV/atom; total magnetic moment = 0.00 μB per cell
1.0
-3.844 2.509 5.722
-4.761 -4.571 -5.896
-1.515 -6.892 2.004
Cs Se Ti
4 4 1
Cartesian
-6.814 -7.666 0.643 Cs
-4.826 -0.296 3.449 Cs
-4.695 -5.933 -2.412 Cs
-3.905 -4.014 1.979 Cs
-5.528 -3.531 5.464 Se
-2.191 -0.801 0.654 Se
-6.986 -3.862 -0.072 Se
-5.536 -9.715 -2.387 Se
0.000 0.000 0.000 Ti

CsTi2Se4 PBE-GGA relaxed; raw formation energy = -1021 meV per atom; space group = No. 63; E = -0.3961 Ry per atom; total magnetic moment = 1.91 μB per cell
1.0
-3.463 1.665 0.301
-1.201 -6.623 -1.869
-0.588 -3.586 13.082
Se Cs Ti
8 2 4
Cartesian
-2.026 -0.961 6.691 Se
-1.770 -4.931 6.917 Se
-1.732 0.832 0.150 Se
-0.759 -2.105 2.912 Se
-3.297 -2.483 0.473 Se
-3.483 -3.614 4.597 Se
-1.955 -6.061 11.040 Se
-4.494 -6.440 8.601 Se
-2.794 -3.084 9.598 Cs
-2.458 -5.460 1.916 Cs
-4.440 -6.775 11.072 Ti
-1.026 -3.072 5.195 Ti
-4.227 -5.472 6.319 Ti
-0.812 -1.769 0.442 Ti

CsTiSe2 PBE-GGA relaxed; raw formation energy = -1142 meV per atom; space group = No. 1; E = -0.3727 Ry per atom; total magnetic moment = 2.00 μB per cell
1.0
7.686 0.015 0.031
-3.369 5.897 -0.024
2.324 2.969 6.336
Ti Se Cs
2 4 2
Cartesian
6.692 3.371 3.811 Ti
2.910 6.240 3.813 Ti
6.722 1.817 1.898 Se
4.496 4.403 3.759 Se
3.331 7.741 5.733 Se
0.713 5.124 3.848 Se
-0.615 7.962 5.977 Cs
2.850 1.870 1.513 Cs

Cs8TiSe6 PBE-GGA relaxed; raw formation energy = -1158 meV per atom; space group = No. 31; E = -0.2597 Ry per atom; total magnetic moment = 0.00 μB per cell
1.0
-7.326 5.569 1.959
1.622 -1.352 9.908
9.055 11.863 0.136
Se Cs Ti
12 16 2
Cartesian
-2.082 6.115 6.354 Se
3.132 15.155 1.555 Se
-0.386 1.483 3.419 Se
2.766 6.001 5.545 Se
0.571 10.070 9.612 Se
3.200 5.875 0.278 Se
2.839 15.465 6.824 Se
6.415 10.789 5.601 Se
4.530 10.521 0.694 Se
-0.417 10.893 3.580 Se
0.248 0.954 7.295 Se
-2.266 8.074 1.473 Se
-3.656 9.103 4.962 Cs
4.686 7.713 3.108 Cs
-2.802 2.612 5.994 Cs
6.275 13.707 0.843 Cs
3.264 12.156 3.528 Cs
0.533 8.640 6.270 Cs
-0.139 5.366 3.530 Cs
7.812 9.770 2.111 Cs
-3.920 4.823 9.302 Cs
4.133 11.432 8.837 Cs
-4.805 5.560 3.901 Cs
0.614 4.738 8.130 Cs
5.424 7.098 7.615 Cs
8.790 8.955 8.084 Cs
-3.012 8.566 8.898 Cs
1.338 8.898 0.995 Cs
-1.958 10.474 1.749 Ti
8.651 11.723 5.362 Ti

Cs2TiSe2 PBE-GGA relaxed; raw formation energy = -1033 meV per atom; space group = No. 72; E = -0.3195 Ry per atom; total magnetic moment = 0.31 μB per cell
1.0
-0.657 2.254 -6.018
6.639 -3.769 -2.136
-6.900 -5.121 2.303
Ti Se Cs
2 4 4
Cartesian
2.827 -0.194 -5.582 Ti
3.155 -1.321 -2.573 Ti
1.083 -1.198 -4.034 Se
3.757 -3.656 -1.779 Se
-4.675 -2.981 -4.073 Se
-2.001 -5.439 -1.818 Se
-0.118 -2.375 -0.876 Cs
4.071 -3.813 -5.339 Cs
-0.799 -4.262 -4.975 Cs
-4.989 -2.823 -0.512 Cs

CsTi5Se8 PBE-GGA relaxed; raw formation energy = -1216 meV per atom; space group = No. 12; E = -0.4474 Ry per atom; total magnetic moment = 1.63 μB per cell
1.0
-0.753 -3.202 -9.080
1.615 -0.474 -9.510
7.002 -6.217 -0.873
Se Ti Cs
8 5 1
Cartesian
1.850 -3.838 -14.172 Se
1.553 -2.617 -8.049 Se
6.622 -8.528 -17.638 Se
4.192 -6.159 -15.991 Se
6.310 -7.277 -11.414 Se
6.014 -6.055 -5.291 Se
3.671 -3.734 -3.471 Se
1.242 -1.366 -1.824 Se
0.309 -1.256 -6.274 Ti
5.178 -6.658 -13.727 Ti
2.686 -3.236 -5.736 Ti
7.555 -8.637 -13.189 Ti
0.000 0.000 0.000 Ti
3.932 -4.947 -9.731 Cs

Cs5Ti2Se6 PBE-GGA relaxed; raw formation energy = -1293 meV per atom; space group = No. 15; E = -0.3267 Ry per atom; total magnetic moment = 2.00 μB per cell
1.0
8.214 0.085 1.128
3.227 7.554 1.128
0.744 0.497 18.598
Se Ti Cs
12 4 10
Cartesian
8.365 4.968 17.569 Se
0.575 1.029 2.482 Se
10.642 7.750 9.072 Se
4.762 2.562 12.583 Se
3.819 3.167 3.284 Se
8.344 6.396 12.102 Se
7.423 5.573 8.270 Se
3.450 3.129 18.049 Se
11.610 7.106 18.371 Se
3.840 1.739 8.750 Se
8.735 5.006 2.804 Se
1.543 0.385 11.781 Se
10.244 5.266 19.049 Ti
3.766 0.940 11.103 Ti
8.419 7.195 9.750 Ti
1.940 2.869 1.804 Ti
6.990 2.072 19.552 Cs
2.454 0.705 5.525 Cs
4.222 5.413 10.253 Cs
6.512 3.037 5.777 Cs
9.730 7.430 15.327 Cs
10.221 5.890 6.029 Cs
7.963 2.722 10.599 Cs
5.194 6.063 1.301 Cs
5.673 5.098 15.076 Cs
1.964 2.245 14.824 Cs

Cs3TiSe PBE-GGA relaxed; raw formation energy = 588 meV per atom; space group = No. 221; E = -0.1617 Ry per atom; total magnetic moment = 4.45 μB per cell
1.0
6.291 0.000 0.000
0.000 6.291 0.000
0.000 0.000 6.291
Cs Se Ti
3 1 1
Cartesian
3.146 0.000 0.000 Cs
0.000 0.000 3.146 Cs
0.000 3.146 0.000 Cs
3.146 3.146 3.146 Se
0.000 0.000 0.000 Ti